No. 1
## Li3ZnCu2 (PBE-GGA)

Data for crystalline Li3ZnCu2 at its relaxed geometry.

## Properties
- Spin magnetization: 0.000 μB/atom
- Calculated formation energy: -0.1 eV per formula unit
- Polymorph energy (0 for the lowest one): 0.440 eV/f.u.

Cell: 5.316 13.103 4.993 Å, 90.00 90.00 90.00°
Space group Cmcm (No. 63)
One atom of each set of equivalent atoms:
Li  0.000  0.142  0.250 x4
Li  0.250  0.174  0.750 x8
Zn  0.000  0.361  0.750 x4
Cu  0.247  0.000  0.000 x8

***

No. 2
## BaTl2Ag (PBE-GGA)

Data for crystalline BaTl2Ag at its relaxed geometry.

## Properties
- Spin magnetization: 0.000 μB/atom
- Calculated formation energy: -0.7 eV per formula unit
- Polymorph energy (0 for the lowest one): 0.283 eV/f.u.

Cell: 4.406 5.945 9.685 Å, 90.00 90.00 90.00°
Space group Immm (No. 71)
One atom of each set of equivalent atoms:
Ba  0.000  0.000  0.000 x2
Tl  0.000  0.500  0.211 x4
Ag  0.000  0.000  0.500 x2

***

No. 3
## Sr2Pd4PtPb3 (PBE-GGA)

Data for crystalline Sr2Pd4PtPb3 at its relaxed geometry.

## Properties
- Spin magnetization: 0.000 μB/atom
- Calculated formation energy: -4.5 eV per formula unit

Cell: 4.452 4.452 12.057 Å, 90.00 90.00 90.00°
Space group P-4m2 (No. 115)
One atom of each set of equivalent atoms:
Sr  0.000  0.500  0.230 x2
Pd  0.000  0.000  0.500 x1
Pd  0.000  0.500  0.859 x2
Pd  0.500  0.500  0.500 x1
Pt  0.500  0.500  0.000 x1
Pb  0.000  0.000  0.000 x1
Pb  0.000  0.500  0.634 x2

***

No. 4
## BeCu2Pd (PBE-GGA)

Data for crystalline BeCu2Pd at its relaxed geometry.

## Properties
- Spin magnetization: 0.000 μB/atom
- Calculated formation energy: 0.2 eV per formula unit

Cell: 3.381 3.381 17.908 Å, 90.00 90.00 90.00°
Space group I-42d (No. 122)
One atom of each set of equivalent atoms:
Be  0.000  0.000  0.000 x4
Cu  0.241  0.250  0.125 x8
Pd  0.000  0.000  0.500 x4

***

No. 5
## BeSiAu (PBE-GGA)

Data for crystalline BeSiAu at its relaxed geometry.

## Properties
- Spin magnetization: 0.000 μB/atom
- Polymorph energy (0 for the lowest one): 0.337 eV/f.u.
- Raw formation energy: 0.29 eV/f.u.

Cell: 5.595 5.595 5.595 Å, 90.00 90.00 90.00°
Space group F-43m (No. 216)
One atom of each set of equivalent atoms:
Be  0.000  0.000  0.000 x4
Si  0.250  0.250  0.250 x4
Au  0.250  0.250  0.750 x4

***

No. 6
## La2Nb2Si (PBE-GGA)

Data for crystalline La2Nb2Si at its relaxed geometry.

## Properties
- Spin magnetization: 0.000 μB/atom
- Polymorph energy (0 for the lowest one): 0.000 eV/f.u.
- Raw formation energy: 0.05 eV/f.u.

Cell: 7.011 7.011 4.816 Å, 90.00 90.00 90.00°
Space group P4/mbm (No. 127)
One atom of each set of equivalent atoms:
La  0.181  0.319  0.000 x4
Nb  0.138  0.638  0.500 x4
Si  0.000  0.000  0.500 x2

***

No. 7
## Ba2LaP2Br2 (PBE-GGA)

Data for crystalline Ba2LaP2Br2 at its relaxed geometry.

## Properties
- Spin magnetization: 0.000 μB/atom
- Raw formation energy: -10.25 eV/f.u.

Cell: 5.546 5.546 16.797 Å, 90.00 90.00 90.00°
Space group I4/mmm (No. 139)
One atom of each set of equivalent atoms:
Ba  0.000  0.000  0.119 x4
La  0.000  0.000  0.500 x2
P  0.000  0.500  0.000 x4
Br  0.000  0.000  0.314 x4

***

No. 8
## Cu2SO4 (PBE-GGA)

Data for crystalline Cu2SO4 at its relaxed geometry.

## Properties
- Spin magnetization: 0.000 μB/atom
- Polymorph energy (0 for the lowest one): 0.000 eV/f.u.
- Raw formation energy: -6.10 eV/f.u.

Cell: 4.577 10.858 15.292 Å, 90.00 90.00 90.00°
Space group Fddd (No. 70, origin choice 2)
One atom of each set of equivalent atoms:
Cu  0.125  0.125  0.325 x16
S  0.125  0.125  0.625 x8
O  0.061  0.297  0.933 x32

***

No. 9
## TiTc2Mo2 (PBE-GGA)

Data for crystalline TiTc2Mo2 at its relaxed geometry.

## Properties
- Spin magnetization: 0.000 μB/atom
- Calculated formation energy: 1.1 eV per formula unit
- Polymorph energy (0 for the lowest one): 1.801 eV/f.u.

Cell: 7.675 9.582 5.283 Å, 90.00 122.20 90.00°
Space group C2/c (No. 15)
One atom of each set of equivalent atoms:
Ti  0.000  0.044  0.250 x4
Tc  0.165  0.437  0.239 x8
Mo  0.167  0.287  0.728 x8

***

No. 10
## Pm2Cd4In3 (PBE-GGA)

Data for crystalline Pm2Cd4In3 at its relaxed geometry.

## Properties
- Spin magnetization: 0.000 μB/atom
- Calculated formation energy: -2.2 eV per formula unit

Cell: 6.371 16.879 8.555 Å, 90.00 90.00 90.00°
Space group Cmce (No. 64)
One atom of each set of equivalent atoms:
Pm  0.000  0.103  0.101 x8
Cd  0.000  0.172  0.484 x8
Cd  0.250  0.065  0.750 x8
In  0.000  0.000  0.500 x4
In  0.250  0.238  0.750 x8

***

No. 11
## PrNd2Zn2 (PBE-GGA)

Data for crystalline PrNd2Zn2 at its relaxed geometry.

## Properties
- Spin magnetization: 0.000 μB/atom
- Calculated formation energy: -1.2 eV per formula unit
- Polymorph energy (0 for the lowest one): 0.000 eV/f.u.

Cell: 3.745 5.333 13.830 Å, 90.00 97.81 90.00°
Space group P2_1/m (No. 11)
One atom of each set of equivalent atoms:
Pr  0.144  0.250  0.283 x2
Nd  0.046  0.750  0.093 x2
Nd  0.232  0.750  0.464 x2
Zn  0.359  0.250  0.721 x2
Zn  0.452  0.750  0.905 x2

***

No. 12
## Li6CaAg6 (PBE-GGA)

Data for crystalline Li6CaAg6 at its relaxed geometry.

## Properties
- Spin magnetization: 0.000 μB/atom
- Calculated formation energy: -2.4 eV per formula unit
- Polymorph energy (0 for the lowest one): 0.000 eV/f.u.

Cell: 5.608 9.011 9.767 Å, 90.00 90.00 90.00°
Space group Immm (No. 71)
One atom of each set of equivalent atoms:
Li  0.000  0.000  0.144 x4
Li  0.000  0.345  0.500 x4
Li  0.000  0.500  0.203 x4
Ca  0.000  0.000  0.500 x2
Ag  0.000  0.282  0.000 x4
Ag  0.250  0.250  0.250 x8

***

No. 13
## Ho2Hf2O7 (PBE-GGA)

Data for crystalline Ho2Hf2O7 at its relaxed geometry.

## Properties
- Spin magnetization: 0.000 μB/atom
- Raw formation energy: -39.26 eV/f.u.

Cell: 10.478 10.478 10.478 Å, 90.00 90.00 90.00°
Space group Fd-3m (No. 227, origin choice 2)
One atom of each set of equivalent atoms:
Ho  0.000  0.000  0.000 x16
Hf  0.000  0.000  0.500 x16
O  0.089  0.375  0.875 x48
O  0.125  0.125  0.125 x8

***

No. 14
## Tl2NiSe (PBE-GGA)

Data for crystalline Tl2NiSe at its relaxed geometry.

## Properties
- Spin magnetization: 0.000 μB/atom
- Polymorph energy (0 for the lowest one): 1.314 eV/f.u.
- Raw formation energy: 0.63 eV/f.u.

Cell: 3.9574 3.9574 20.5412 Å, 90.00 90.00 120.00°
Space group R-3m (No. 166, hexagonal axes)
One atom of each set of equivalent atoms:
Tl  0.0000  0.0000  0.2397 x6
Ni  0.0000  0.0000  0.5000 x3
Se  0.0000  0.0000  0.0000 x3

***

No. 15
## K2CoS2 (PBE-GGA)

Data for crystalline K2CoS2 at its relaxed geometry.

## Properties
- Spin magnetization: 0.601 μB/atom
- Raw formation energy: -3.92 eV/f.u.

Cell: 6.817 12.704 5.921 Å, 90.00 90.00 90.00°
Space group Ibam (No. 72)
One atom of each set of equivalent atoms:
K  0.167  0.146  0.000 x8
Co  0.000  0.500  0.250 x4
S  0.182  0.401  0.000 x8

***

No. 16
## RbCrTeN2 (PBE-GGA)

Data for crystalline RbCrTeN2 at its relaxed geometry.

## Properties
- Spin magnetization: 0.200 μB/atom
- Polymorph energy (0 for the lowest one): 7.319 eV/f.u.
- Raw formation energy: 11.51 eV/f.u.

Cell: 4.995 4.995 7.158 Å, 90.00 90.00 90.00°
Space group P4/mmm (No. 123)
One atom of each set of equivalent atoms:
Rb  0.000  0.000  0.000 x1
Cr  0.500  0.500  0.500 x1
Te  0.000  0.000  0.500 x1
N  0.000  0.500  0.000 x2

***

No. 17
## ErVRuRh (PBE-GGA)

Data for crystalline ErVRuRh at its relaxed geometry.

## Properties
- Spin magnetization: 0.304 μB/atom
- Calculated formation energy: -1.2 eV per formula unit

Cell: 6.414 6.414 6.414 Å, 90.00 90.00 90.00°
Space group F-43m (No. 216)
One atom of each set of equivalent atoms:
Er  0.000  0.000  0.000 x4
V  0.000  0.000  0.500 x4
Ru  0.250  0.250  0.750 x4
Rh  0.250  0.250  0.250 x4

***

No. 18
## Ba2TlS (PBE-GGA)

Data for crystalline Ba2TlS at its relaxed geometry.

## Properties
- Spin magnetization: 0.051 μB/atom
- Polymorph energy (0 for the lowest one): 0.754 eV/f.u.
- Raw formation energy: -3.39 eV/f.u.

Cell: 4.3033 4.3033 32.7082 Å, 90.00 90.00 120.00°
Space group R-3m (No. 166, hexagonal axes)
One atom of each set of equivalent atoms:
Ba  0.0000  0.0000  0.1096 x6
Tl  0.0000  0.0000  0.0000 x3
S  0.0000  0.0000  0.5000 x3

***

No. 19
## Tb2YHoSc4 (PBE-GGA)

Data for crystalline Tb2YHoSc4 at its relaxed geometry.

## Properties
- Spin magnetization: 0.000 μB/atom
- Calculated formation energy: 0.4 eV per formula unit

Cell: 4.898 4.898 9.317 Å, 90.00 90.00 90.00°
Space group P4/mmm (No. 123)
One atom of each set of equivalent atoms:
Tb  0.000  0.000  0.000 x1
Tb  0.500  0.500  0.500 x1
Y  0.000  0.000  0.500 x1
Ho  0.500  0.500  0.000 x1
Sc  0.000  0.500  0.249 x4

***

No. 20
## AsC5 (PBE-GGA)

Data for crystalline AsC5 at its relaxed geometry.

## Properties
- Spin magnetization: 0.000 μB/atom
- Calculated formation energy: 5.8 eV per formula unit
- Polymorph energy (0 for the lowest one): 0.516 eV/f.u.

Cell: 7.778 7.992 2.496 Å, 90.00 90.00 90.00°
Space group Cmmm (No. 65)
One atom of each set of equivalent atoms:
As  0.000  0.000  0.000 x2
C  0.000  0.240  0.000 x4
C  0.000  0.328  0.500 x4
C  0.000  0.500  0.500 x2